No. 1
BaTiTlSb2 | PBE | relaxed

Cell lengths 5.4071, 5.4071, 5.4310 Å; angles 90.00, 90.00, 90.00 degrees
Last column: nearest neighbours and their distance in Å.
Positions (direct):
Ba1 0.0000 0.0000 0.0000  4 Tl 3.82, 8 Sb 3.83
Ti1 0.5000 0.5000 0.5000  4 Sb 2.70, 2 Tl 2.72
Tl1 0.5000 0.5000 0.0000  2 Ti 2.72
Sb1 0.0000 0.5000 0.5000  2 Ti 2.70
Sb2 0.5000 0.0000 0.5000  2 Ti 2.70

## Properties
Total magnetic moment = 0.0 μB/f.u.
Energy relative to the elements, uncorrected = -0.418 eV/atom
Theoretical density = 6.621 g/cm³

No. 2
Ca2ZrTc | PBE | relaxed

Cell lengths 3.5558, 5.6306, 10.6631 Å; angles 90.00, 90.00, 90.00 degrees
Last column: nearest neighbours and their distance in Å.
Positions (direct):
Ca1 0.0000 0.0000 0.0000  4 Tc 3.35, 4 Zr 3.52-3.67, 6 Ca 3.54-3.65
Ca2 0.0000 0.5000 0.2008  2 Tc 3.08
Ca3 0.5000 0.0000 0.7008  2 Tc 3.08
Ca4 0.5000 0.5000 0.5000  4 Tc 3.35, 4 Zr 3.52-3.67, 6 Ca 3.54-3.65
Zr1 0.0000 0.5000 0.8016  2 Tc 2.49
Zr2 0.5000 0.0000 0.3016  2 Tc 2.49
Tc1 0.0000 0.0000 0.4653  2 Zr 2.49
Tc2 0.5000 0.5000 0.9653  2 Zr 2.49

## Properties
Total magnetic moment = 0.0 μB/f.u.
ΔH_f (0 K) = 0.25 eV/atom
Theoretical density = 4.191 g/cm³